Record 1
A plane-wave DFT calculation with PBE-GGA was carried out for crystalline CeErIr at its relaxed geometry.

abc: 6.8287 6.8287 6.8287
angles: 90.00 90.00 90.00
Last column: nearest neighbours and their distance in Å.
Space group F-43m (No. 216)
Inequivalent atoms, fractional coordinates:
Ce  0.0000  0.0000  0.0000 x4  4 Ir 2.96
Er  0.0000  0.0000  0.5000 x4  4 Ir 2.96
Ir  0.2500  0.2500  0.7500 x4  4 Ce 2.96, 4 Er 2.96

## Properties
Density, g/cm³: 10.42
Energy above the lowest structure with this stoichiometry, eV per atom: 0.0224
ΔE_f, meV/atom: -557.4
Total DFT energy (no corrections), eV/atom: -7.010

---

Record 2
A plane-wave DFT calculation with PBE-GGA was carried out for crystalline CeErIr at its relaxed geometry.

abc: 4.0662 4.0662 6.0785
angles: 90.00 90.00 120.00
Last column: nearest neighbours and their distance in Å.
Space group P3m1 (No. 156)
Inequivalent atoms, fractional coordinates:
Ce  0.0000  0.0000  0.0000 x1  3 Ir 2.77
Er  0.3333  0.6667  0.5152 x1  3 Ir 2.77
Ir  0.6667  0.3333  0.7583 x1  3 Ce 2.77, 3 Er 2.77

## Properties
Density, g/cm³: 9.53
Energy above the lowest structure with this stoichiometry, eV per atom: 0.0722
ΔE_f, meV/atom: -507.5
Total DFT energy (no corrections), eV/atom: -6.960